#P
The following is a PBE calculation of a relaxed TlVPCl2 crystal, from Alexandria.

Computed properties:
D(E_F) in states/eV/atom: 0.16

Lattice parameters (Å, degrees): 4.9977 4.9977 4.6993 90.00 90.00 90.00
Closest atoms and distances in Å follow each position.
Positions (direct):
Tl (0.0000, 0.0000, 0.0000)  8 Cl 3.43, 4 P 3.53
V (0.5000, 0.5000, 0.5000)  2 P 2.35, 4 Cl 2.50
P (0.5000, 0.5000, 0.0000)  2 V 2.35
Cl (0.0000, 0.5000, 0.5000)  2 V 2.50
Cl (0.5000, 0.0000, 0.5000)  2 V 2.50

=====

#Q
The following is a PBE calculation of a relaxed TlVPCl2 crystal, from Alexandria.

Computed properties:
D(E_F) in states/eV/atom: 0.82

Lattice parameters (Å, degrees): 5.2873 5.2873 5.2722 90.00 90.00 90.00
Closest atoms and distances in Å follow each position.
Positions (direct):
Tl (0.0000, 0.0000, 0.0000)  2 P 2.64, 4 Cl 2.64
V (0.5000, 0.5000, 0.5000)  8 Cl 3.73, 4 P 3.74
P (0.0000, 0.0000, 0.5000)  2 Tl 2.64
Cl (0.0000, 0.5000, 0.0000)  2 Tl 2.64
Cl (0.5000, 0.0000, 0.0000)  2 Tl 2.64

=====

How far above the most stable structure does each one sit? In eV/atom: #P 0.000; #Q 1.135.

=====

#P
The following is a PBE calculation of a relaxed YTlPCl2 crystal, from Alexandria.

Computed properties:
D(E_F) in states/eV/atom: 0.31

Lattice parameters (Å, degrees): 5.2341 5.2341 5.2413 90.00 90.00 90.00
Closest atoms and distances in Å follow each position.
Positions (direct):
Y (0.0000, 0.0000, 0.0000)  4 P 3.70, 8 Cl 3.70
Tl (0.5000, 0.5000, 0.5000)  4 Cl 2.62, 2 P 2.62
P (0.5000, 0.5000, 0.0000)  2 Tl 2.62
Cl (0.0000, 0.5000, 0.5000)  2 Tl 2.62
Cl (0.5000, 0.0000, 0.5000)  2 Tl 2.62

=====

#Q
The following is a PBE calculation of a relaxed YTlPCl2 crystal, from Alexandria.

Computed properties:
D(E_F) in states/eV/atom: 0.53

Lattice parameters (Å, degrees): 5.2752 5.2752 5.5567 90.00 90.00 90.00
Closest atoms and distances in Å follow each position.
Positions (direct):
Y (0.0000, 0.0000, 0.0000)  4 Cl 2.64, 2 P 2.78
Tl (0.5000, 0.5000, 0.5000)  4 P 3.73, 8 Cl 3.83
P (0.0000, 0.0000, 0.5000)  2 Y 2.78
Cl (0.0000, 0.5000, 0.0000)  2 Y 2.64
Cl (0.5000, 0.0000, 0.0000)  2 Y 2.64

=====

How far above the most stable structure does each one sit? In eV/atom: #P 0.877; #Q 0.000.

=====

#P
The following is a PBE calculation of a relaxed ZrTlPCl2 crystal, from Alexandria.

Computed properties:
D(E_F) in states/eV/atom: 0.32

Lattice parameters (Å, degrees): 5.1525 5.1525 5.1091 90.00 90.00 90.00
Closest atoms and distances in Å follow each position.
Positions (direct):
Zr (0.0000, 0.0000, 0.0000)  2 P 2.55, 4 Cl 2.58
Tl (0.5000, 0.5000, 0.5000)  8 Cl 3.63, 4 P 3.64
P (0.0000, 0.0000, 0.5000)  2 Zr 2.55
Cl (0.0000, 0.5000, 0.0000)  2 Zr 2.58
Cl (0.5000, 0.0000, 0.0000)  2 Zr 2.58

=====

#Q
The following is a PBE calculation of a relaxed ZrTlPCl2 crystal, from Alexandria.

Computed properties:
D(E_F) in states/eV/atom: 0.90

Lattice parameters (Å, degrees): 5.1732 5.1732 5.2556 90.00 90.00 90.00
Closest atoms and distances in Å follow each position.
Positions (direct):
Zr (0.0000, 0.0000, 0.0000)  4 P 3.66, 8 Cl 3.69
Tl (0.5000, 0.5000, 0.5000)  4 Cl 2.59, 2 P 2.63
P (0.5000, 0.5000, 0.0000)  2 Tl 2.63
Cl (0.0000, 0.5000, 0.5000)  2 Tl 2.59
Cl (0.5000, 0.0000, 0.5000)  2 Tl 2.59

=====

How far above the most stable structure does each one sit? In eV/atom: #P 0.000; #Q 1.323.